(1)
A plane-wave DFT calculation with PBE was carried out for a relaxed Na2Pb5Au3 crystal.

The value obtained for the total energy is -3.2794 eV/atom. The space group is Cmc2_1. The value obtained for the density of states at the Fermi level is 6.64 states/eV per cell. As for the formation energy: -0.18 eV per atom. The calculation puts the volume at 27.0 Å³ per atom.

Cell lengths 4.6979, 7.7659, 14.9750 Å; angles 90.00, 99.02, 90.00 degrees
Last column: nearest neighbours and their distance in Å.
Fractional positions:
Pb  0.5948  0.9000  0.1895  3 Au 2.92-3.03
Pb  0.2942  0.9319  0.5884  4 Au 2.95-2.99
Pb  0.1223  0.2504  0.2445  4 Au 3.08-3.19, 1 Pb 3.41
Pb  0.7058  0.4319  0.4116  4 Au 2.95-2.99
Pb  0.0514  0.5966  0.1029  4 Au 2.85-3.02
Pb  0.9486  0.0966  0.8971  4 Au 2.85-3.02
Pb  0.8777  0.7504  0.7555  4 Au 3.08-3.19, 1 Pb 3.41
Pb  0.4052  0.4000  0.8105  3 Au 2.92-3.03
Pb  0.7043  0.9976  0.4085  3 Au 2.97-3.00, 1 Pb 3.33
Pb  0.2957  0.4976  0.5915  3 Au 2.97-3.00, 1 Pb 3.33
Au  0.0404  0.9837  0.0808  5 Pb 2.85-3.19
Au  0.7739  0.7164  0.5478  7 Pb 2.95-3.08
Au  0.6079  0.5125  0.2159  6 Pb 2.96-3.14, 1 Na 3.14
Au  0.9596  0.4837  0.9192  5 Pb 2.85-3.19
Au  0.2261  0.2164  0.4522  7 Pb 2.95-3.08
Au  0.3921  0.0125  0.7841  6 Pb 2.96-3.14, 1 Na 3.14
Na  0.8312  0.2052  0.6625  2 Au 3.32, 7 Pb 3.35-3.57
Na  0.4773  0.7706  0.9547  5 Au 3.14-3.43, 2 Pb 3.49
Na  0.1688  0.7052  0.3375  2 Au 3.32, 7 Pb 3.35-3.57
Na  0.5227  0.2706  0.0453  5 Au 3.14-3.43, 2 Pb 3.49


(2)
A plane-wave DFT calculation with PBE was carried out for a relaxed CaSmCuRu crystal.

The value obtained for the total energy is -5.0602 eV/atom. The space group is F-43m. The value obtained for the density of states at the Fermi level is 2.23 states/eV per cell. As for the formation energy: -0.04 eV per atom. The calculation puts the volume at 21.2 Å³ per atom.

Cell lengths 4.9298, 4.9298, 4.9298 Å; angles 60.00, 60.00, 60.00 degrees
Last column: nearest neighbours and their distance in Å.
Fractional positions:
Cu  0.2500  0.2500  0.2500  4 Ca 3.02, 4 Sm 3.02
Ca  0.0000  0.0000  0.0000  4 Ru 3.02, 4 Cu 3.02
Ru  0.7500  0.7500  0.7500  4 Ca 3.02, 4 Sm 3.02
Sm  0.5000  0.5000  0.5000  4 Cu 3.02, 4 Ru 3.02